1.
AcNdGe3: optimized geometry, GGA-PBE.

```
AcNdGe3
1.0
4.1503 0.0000 0.0000
0.0000 4.5375 0.0000
0.0000 -2.2688 13.8131
Ge Nd Ac
6 2 2
direct
0.2500 0.6854 0.3708
0.7500 0.3146 0.6292
0.7500 0.5272 0.0543
0.2500 0.3740 0.7481
0.7500 0.6260 0.2519
0.2500 0.4728 0.9457
0.2500 0.7966 0.5932
0.7500 0.2034 0.4068
0.2500 0.0732 0.1465
0.7500 0.9268 0.8535
```

- V (Å³/f.u.) = 130
- total magnetic moment (μB/atom) = 0.000
- energy relative to the elements (meV/atom) = -703.8

2.
LiZrHg2: optimized geometry, GGA-PBE.

```
LiZrHg2
1.0
-0.8663 2.6914 2.0796
-0.2018 -2.1829 2.7410
6.4753 1.0623 1.3227
Hg Zr Li
2 1 1
direct
0.0000 0.0000 0.9955
0.5000 0.5000 0.2948
0.5000 0.5000 0.7474
0.0000 0.0000 0.4622
```

- V (Å³/f.u.) = 82
- total magnetic moment (μB/atom) = 0.000
- energy relative to the elements (meV/atom) = -42.8

3.
Tl2Sn2F5: optimized geometry, GGA-PBE.

```
Tl2Sn2F5
1.0
7.3435 0.0000 0.0000
0.0000 6.0392 0.0000
-3.6718 -3.0196 8.7698
Tl F Sn
4 10 4
direct
0.9063 0.3444 0.7218
0.6845 0.1226 0.2782
0.3155 0.8444 0.7218
0.0937 0.6226 0.2782
0.0947 0.1923 0.5000
0.5118 0.4127 0.7661
0.2812 0.6594 0.9173
0.2457 0.1466 0.2339
0.1361 0.1594 0.9173
0.8639 0.2421 0.0827
0.7543 0.9127 0.7661
0.4882 0.6466 0.2339
0.9053 0.6923 0.5000
0.7188 0.7421 0.0827
0.3820 0.2675 0.5000
0.0000 0.9484 0.0000
0.5000 0.4484 0.0000
0.6180 0.7675 0.5000
```

- raw formation energy (meV per atom) = -1851
- V (Å³/f.u.) = 194
- total magnetic moment (μB/atom) = 0.000

4.
Si2Sb2Au: optimized geometry, GGA-PBE.

```
Si2Sb2Au
1.0
3.5088 0.0000 0.0000
0.0000 3.5088 0.0000
1.7544 1.7544 8.6406
Au Si Sb
1 2 2
direct
0.0000 0.0000 0.0000
0.7500 0.2500 0.5000
0.2500 0.7500 0.5000
0.3975 0.3975 0.2049
0.6025 0.6025 0.7951
```

- energy relative to the lowest polymorph listed for this composition (meV/atom) = 154
- raw formation energy (meV per atom) = 292
- V (Å³/f.u.) = 106
- total magnetic moment (μB/atom) = 0.000

5.
SmEuYHo: optimized geometry, GGA-PBE.

```
SmEuYHo
1.0
5.7791 0.0000 0.0000
2.8895 5.0048 0.0000
2.8895 1.6683 4.7186
Eu Y Sm Ho
1 1 1 1
direct
0.5000 0.5000 0.5000
0.7500 0.7500 0.7500
0.2500 0.2500 0.2500
0.0000 0.0000 0.0000
```

- V (Å³/f.u.) = 136
- total magnetic moment (μB/atom) = 2.057
- energy relative to the elements (meV/atom) = 155.5

6.
Ta2HgPb: optimized geometry, GGA-PBE.

```
Ta2HgPb
1.0
-1.6050 5.4563 0.9075
-3.9499 -3.5978 -1.9318
-1.6656 -0.3386 2.4863
Ta Pb Hg
2 1 1
direct
0.0000 0.0000 0.0000
0.5000 0.0000 0.5000
0.5000 0.5000 0.0000
0.0000 0.5000 0.5000
```

- energy relative to the lowest polymorph listed for this composition (meV/atom) = 227
- V (Å³/f.u.) = 82
- total magnetic moment (μB/atom) = 0.000
- energy relative to the elements (meV/atom) = 550.0

7.
Y3Se2N: optimized geometry, GGA-PBE.

```
Y3Se2N
1.0
-0.4219 -3.8531 -0.4365
1.7506 -0.5825 3.4368
-8.1533 2.5983 2.3790
Y Se N
3 2 1
direct
0.9342 0.9357 0.8740
0.5697 0.5712 0.1450
0.2987 0.3002 0.6030
0.7626 0.7640 0.5307
0.1059 0.1073 0.2172
0.4343 0.4357 0.8740
```

- energy relative to the lowest polymorph listed for this composition (meV/atom) = 0
- raw formation energy (meV per atom) = -1644
- V (Å³/f.u.) = 128
- total magnetic moment (μB/atom) = 0.000

8.
KCaAcIn: optimized geometry, GGA-PBE.

```
KCaAcIn
1.0
5.9247 0.0000 0.0000
2.9624 5.1309 0.0000
2.9624 1.7103 4.8375
In Ac Ca K
1 1 1 1
direct
0.2500 0.2500 0.2500
0.0000 0.0000 0.0000
0.5000 0.5000 0.5000
0.7500 0.7500 0.7500
```

- V (Å³/f.u.) = 147
- total magnetic moment (μB/atom) = 0.000
- energy relative to the elements (meV/atom) = -0.3

9.
La6S2I3Br: optimized geometry, GGA-PBE.

```
La6S2I3Br
1.0
7.2844 0.0155 0.0071
-3.6270 6.3172 0.0071
-1.2124 -2.0992 7.9047
La Br S I
6 1 2 3
direct
0.9313 0.5790 0.7954
0.4210 0.0687 0.2046
0.7147 0.7147 0.2010
0.5790 0.9313 0.7954
0.0687 0.4210 0.2046
0.2853 0.2853 0.7990
0.0000 0.0000 0.0000
0.3324 0.6676 0.0000
0.6676 0.3324 0.0000
0.5000 0.5000 0.5000
0.8393 0.1607 0.5000
0.1607 0.8393 0.5000
```

- raw formation energy (meV per atom) = -1427
- V (Å³/f.u.) = 364
- total magnetic moment (μB/atom) = 0.000

10.
MgAl2In2Pt5: optimized geometry, GGA-PBE.

```
MgAl2In2Pt5
1.0
-3.5564 -1.0129 -1.0245
-2.4084 -0.7301 9.0826
-2.5925 9.0612 0.0409
In Pt Al Mg
4 10 4 2
direct
0.0000 0.3269 0.8269
0.0000 0.8269 0.6731
0.0000 0.6731 0.1731
0.0000 0.1731 0.3269
0.5000 0.3008 0.5807
0.5000 0.0807 0.8008
0.5000 0.1992 0.0807
0.5000 0.6992 0.4193
0.5000 0.4193 0.3008
0.5000 0.0000 0.5000
0.5000 0.5807 0.6992
0.5000 0.5000 0.0000
0.5000 0.9193 0.1992
0.5000 0.8008 0.9193
0.0000 0.8738 0.3738
0.0000 0.3738 0.1262
0.0000 0.1262 0.6262
0.0000 0.6262 0.8738
0.0000 0.0000 0.0000
0.0000 0.5000 0.5000
```

- V (Å³/f.u.) = 170
- total magnetic moment (μB/atom) = 0.000
- energy relative to the elements (meV/atom) = -580.1

11.
BPICl2: optimized geometry, GGA-PBE.

```
BPICl2
1.0
-1.8195 0.9708 -3.6340
-3.7323 -0.9671 1.6104
-0.6197 5.2391 1.7099
Cl I B P
2 1 1 1
direct
0.5000 0.0000 0.0000
0.0000 0.5000 0.0000
0.5000 0.5000 0.5000
0.0000 0.0000 0.0000
0.0000 0.0000 0.5000
```

- energy relative to the lowest polymorph listed for this composition (meV/atom) = 0
- raw formation energy (meV per atom) = 603
- V (Å³/f.u.) = 97
- total magnetic moment (μB/atom) = 0.000

12.
KMn4Tl3Cl12: optimized geometry, GGA-PBE.

```
KMn4Tl3Cl12
1.0
-1.9771 -2.9608 -9.0781
3.6250 -7.5072 5.0586
-8.2680 2.9701 4.2316
K Cl Tl Mn
1 12 3 4
direct
0.0000 0.0000 0.0000
0.3634 0.9968 0.1833
0.1090 0.8910 0.5000
0.3569 0.6431 0.5000
0.5000 0.3569 0.6431
0.6366 0.8167 0.0032
0.6431 0.5000 0.3569
0.5000 0.1090 0.8910
0.8167 0.0032 0.6366
0.9968 0.1833 0.3634
0.0032 0.6366 0.8167
0.1833 0.3634 0.9968
0.8910 0.5000 0.1090
0.4671 0.0000 0.5329
0.5329 0.4671 0.0000
0.0000 0.5329 0.4671
0.5000 0.5000 0.5000
0.0341 0.5000 0.9659
0.9659 0.0341 0.5000
0.5000 0.9659 0.0341
```

- raw formation energy (meV per atom) = -1055
- V (Å³/f.u.) = 727
- total magnetic moment (μB/atom) = 1.000

Q: Which of these has the highest V?
A: KMn4Tl3Cl12

What did the eleventh record say?
BPICl2: optimized geometry, GGA-PBE.

```
BPICl2
1.0
-1.8195 0.9708 -3.6340
-3.7323 -0.9671 1.6104
-0.6197 5.2391 1.7099
Cl I B P
2 1 1 1
direct
0.5000 0.0000 0.0000
0.0000 0.5000 0.0000
0.5000 0.5000 0.5000
0.0000 0.0000 0.0000
0.0000 0.0000 0.5000
```

- energy relative to the lowest polymorph listed for this composition (meV/atom) = 0
- raw formation energy (meV per atom) = 603
- V (Å³/f.u.) = 97
- total magnetic moment (μB/atom) = 0.000